1.
Entry from Alexandria: an optimized crystal structure of BaSr6Zn2 (PBE).

abc: 4.115 7.604 13.589
angles: 79.16 81.29 74.30
Atoms (fractional coordinates):
Ba (0.000, 0.000, 0.000)
Sr (0.703, 0.462, 0.131)
Sr (0.297, 0.538, 0.869)
Sr (0.329, 0.754, 0.588)
Sr (0.959, 0.772, 0.311)
Sr (0.041, 0.228, 0.689)
Sr (0.671, 0.246, 0.412)
Zn (0.329, 0.119, 0.223)
Zn (0.671, 0.881, 0.777)

Properties
* space group: C2/m

---

2.
Entry from Alexandria: an optimized crystal structure of BaSr5Zn4 (PBE).

abc: 3.976 3.976 22.179
angles: 90.00 90.00 90.00
Atoms (fractional coordinates):
Ba (0.000, 0.000, 0.000)
Sr (0.500, 0.500, 0.155)
Sr (0.500, 0.500, 0.327)
Sr (0.500, 0.500, 0.500)
Sr (0.500, 0.500, 0.673)
Sr (0.500, 0.500, 0.845)
Zn (0.000, 0.000, 0.238)
Zn (0.000, 0.000, 0.415)
Zn (0.000, 0.000, 0.585)
Zn (0.000, 0.000, 0.762)

Properties
* space group: P4/mmm

---

3.
Entry from Alexandria: an optimized crystal structure of Ba5Sr2Zn (PBE).

abc: 4.255 10.449 19.326
angles: 90.00 90.00 90.00
Atoms (fractional coordinates):
Ba (0.000, 0.000, 0.000)
Ba (0.000, 0.500, 0.500)
Ba (0.000, 0.496, 0.724)
Ba (0.000, 0.504, 0.276)
Ba (0.000, 0.004, 0.224)
Ba (0.000, 0.996, 0.776)
Ba (0.500, 0.310, 0.895)
Ba (0.500, 0.690, 0.105)
Ba (0.500, 0.190, 0.395)
Ba (0.500, 0.810, 0.605)
Sr (0.500, 0.185, 0.603)
Sr (0.500, 0.815, 0.397)
Sr (0.500, 0.315, 0.103)
Sr (0.500, 0.685, 0.897)
Zn (0.000, 0.000, 0.500)
Zn (0.000, 0.500, 0.000)

Properties
* space group: Pbam

---

4.
Entry from Alexandria: an optimized crystal structure of BaSr2Zn2 (PBE).

abc: 4.505 6.438 7.265
angles: 101.94 108.06 90.00
Atoms (fractional coordinates):
Ba (0.000, 0.000, 0.000)
Sr (0.351, 0.421, 0.702)
Sr (0.649, 0.579, 0.298)
Zn (0.728, 0.091, 0.457)
Zn (0.272, 0.909, 0.543)

Properties
* space group: C2/m
* energy above the lowest structure with this stoichiometry: 0.17 eV/f.u.

---

Number 1: formation enthalpy at 0 K -56 meV per atom, VASP energy -1.67 eV/atom, D(E_F) 1.13 states/eV per atom. Number 2: formation enthalpy at 0 K -135 meV per atom, VASP energy -1.68 eV/atom, D(E_F) 1.02 states/eV per atom. Number 3: formation enthalpy at 0 K -13 meV per atom, VASP energy -1.79 eV/atom, D(E_F) 1.37 states/eV per atom. Number 4: formation enthalpy at 0 K -101 meV per atom, VASP energy -1.67 eV/atom, D(E_F) 0.89 states/eV per atom.